(1)
# PBE BaSc2Si, relaxed
data_BaSc2Si
_cell_length_a 3.8120
_cell_length_b 3.8120
_cell_length_c 30.6691
_cell_angle_alpha 90.00
_cell_angle_beta 90.00
_cell_angle_gamma 120.00
_space_group_name_H-M_alt 'R -3 m'
_space_group_IT_number 166
_space_group_name_Hall '-R 3 2"'
loop_
_atom_site_label
_atom_site_type_symbol
_atom_site_fract_x
_atom_site_fract_y
_atom_site_fract_z
Ba1 Ba 0.0000 0.0000 0.0000
Sc1 Sc 0.0000 0.0000 0.1187
Si1 Si 0.0000 0.0000 0.5000
# * raw formation energy: 0.07 eV per formula unit
# * crystal system: trigonal
# * total magnetization: 0.00 μB/f.u.

(2)
# PBE K2YHg2, relaxed
data_K2YHg2
_cell_length_a 7.917
_cell_length_b 7.917
_cell_length_c 5.863
_cell_angle_alpha 90.00
_cell_angle_beta 90.00
_cell_angle_gamma 90.00
_space_group_name_H-M_alt 'P 4/m b m'
_space_group_IT_number 127
_space_group_name_Hall '-P 4 2ab'
loop_
_atom_site_label
_atom_site_type_symbol
_atom_site_fract_x
_atom_site_fract_y
_atom_site_fract_z
K1 K 0.172 0.328 0.000
Y1 Y 0.000 0.000 0.500
Hg1 Hg 0.133 0.633 0.500
# * offset from the most stable computed form: 0.00 eV/f.u.
# * crystal system: tetragonal
# * DFT formation energy: -0.045 eV per atom
# * total magnetization: 0.00 μB/f.u.

(3)
# PBE CaIr2Ru, relaxed
data_CaIr2Ru
_cell_length_a 2.839
_cell_length_b 4.663
_cell_length_c 10.058
_cell_angle_alpha 90.00
_cell_angle_beta 90.00
_cell_angle_gamma 90.00
_space_group_name_H-M_alt 'I m m m'
_space_group_IT_number 71
_space_group_name_Hall '-I 2 2'
loop_
_atom_site_label
_atom_site_type_symbol
_atom_site_fract_x
_atom_site_fract_y
_atom_site_fract_z
Ca1 Ca 0.000 0.000 0.000
Ir1 Ir 0.000 0.500 0.222
Ru1 Ru 0.000 0.000 0.500
# * offset from the most stable computed form: 0.75 eV/f.u.
# * crystal system: orthorhombic
# * DFT formation energy: 0.200 eV per atom
# * total magnetization: 0.00 μB/f.u.

(4)
# PBE Sm2InNi4Sn3, relaxed
data_Sm2InNi4Sn3
_cell_length_a 4.394
_cell_length_b 4.394
_cell_length_c 10.322
_cell_angle_alpha 90.00
_cell_angle_beta 90.00
_cell_angle_gamma 90.00
_space_group_name_H-M_alt 'P -4 m 2'
_space_group_IT_number 115
loop_
_space_group_symop_operation_xyz
'x,y,z'
'y,-x,-z'
'-x,-y,z'
'-y,x,-z'
'-x,y,z'
'-y,-x,-z'
'x,-y,z'
'y,x,-z'
loop_
_atom_site_label
_atom_site_type_symbol
_atom_site_fract_x
_atom_site_fract_y
_atom_site_fract_z
Sm1 Sm 0.000 0.500 0.239
In1 In 0.000 0.000 0.500
Ni1 Ni 0.000 0.000 0.000
Ni2 Ni 0.000 0.500 0.634
Ni3 Ni 0.500 0.500 0.000
Sn1 Sn 0.000 0.500 0.875
Sn2 Sn 0.500 0.500 0.500
# * crystal system: tetragonal
# * DFT formation energy: -0.489 eV per atom
# * total magnetization: 0.00 μB/f.u.

(5)
# PBE InHgRh2, relaxed
data_InHgRh2
_cell_length_a 8.764
_cell_length_b 3.096
_cell_length_c 5.345
_cell_angle_alpha 90.00
_cell_angle_beta 102.12
_cell_angle_gamma 90.00
_space_group_name_H-M_alt 'C 1 2/m 1'
_space_group_IT_number 12
loop_
_space_group_symop_operation_xyz
'x,y,z'
'-x,-y,-z'
'-x,y,-z'
'x,-y,z'
'x+1/2,y+1/2,z'
'-x+1/2,-y+1/2,-z'
'-x+1/2,y+1/2,-z'
'x+1/2,-y+1/2,z'
loop_
_atom_site_label
_atom_site_type_symbol
_atom_site_fract_x
_atom_site_fract_y
_atom_site_fract_z
In1 In 0.000 0.000 0.000
Hg1 Hg 0.000 0.500 0.500
Rh1 Rh 0.246 0.500 0.240
# * crystal system: monoclinic
# * DFT formation energy: 0.013 eV per atom
# * total magnetization: 0.00 μB/f.u.

(6)
# PBE ErV2Os, relaxed
data_ErV2Os
_cell_length_a 6.341
_cell_length_b 6.341
_cell_length_c 6.341
_cell_angle_alpha 90.00
_cell_angle_beta 90.00
_cell_angle_gamma 90.00
_space_group_name_H-M_alt 'F m -3 m'
_space_group_IT_number 225
_space_group_name_Hall '-F 4 2 3'
loop_
_atom_site_label
_atom_site_type_symbol
_atom_site_fract_x
_atom_site_fract_y
_atom_site_fract_z
Er1 Er 0.000 0.000 0.000
V1 V 0.250 0.250 0.250
Os1 Os 0.000 0.000 0.500
# * crystal system: cubic
# * DFT formation energy: 0.129 eV per atom
# * total magnetization: 0.05 μB/f.u.

(7)
# PBE Na4CaSn, relaxed
data_Na4CaSn
_cell_length_a 9.013
_cell_length_b 9.013
_cell_length_c 9.013
_cell_angle_alpha 90.00
_cell_angle_beta 90.00
_cell_angle_gamma 90.00
_space_group_name_H-M_alt 'F -4 3 m'
_space_group_IT_number 216
_space_group_name_Hall 'F -4 2 3'
loop_
_atom_site_label
_atom_site_type_symbol
_atom_site_fract_x
_atom_site_fract_y
_atom_site_fract_z
Na1 Na 0.125 0.125 0.125
Ca1 Ca 0.250 0.250 0.750
Sn1 Sn 0.000 0.000 0.500
# * crystal system: cubic
# * DFT formation energy: -0.016 eV per atom
# * total magnetization: 0.00 μB/f.u.

(8)
# PBE LiCaPbCl6, relaxed
data_LiCaPbCl6
_cell_length_a 6.7581
_cell_length_b 6.7581
_cell_length_c 6.0442
_cell_angle_alpha 90.00
_cell_angle_beta 90.00
_cell_angle_gamma 120.00
_space_group_name_H-M_alt 'P 3 1 2'
_space_group_IT_number 149
loop_
_space_group_symop_operation_xyz
'x,y,z'
'-y,x-y,z'
'-x+y,-x,z'
'-y,-x,-z'
'-x+y,y,-z'
'x,x-y,-z'
loop_
_atom_site_label
_atom_site_type_symbol
_atom_site_fract_x
_atom_site_fract_y
_atom_site_fract_z
Li1 Li 0.0000 0.0000 0.0000
Ca1 Ca 0.6667 0.3333 0.0000
Pb1 Pb 0.3333 0.6667 0.5000
Cl1 Cl 0.0003 0.3178 0.2448
# * raw formation energy: -13.53 eV per formula unit
# * crystal system: trigonal
# * total magnetization: 0.00 μB/f.u.

(9)
# PBE TcGeN3, relaxed
data_TcGeN3
_cell_length_a 3.902
_cell_length_b 3.902
_cell_length_c 3.902
_cell_angle_alpha 90.00
_cell_angle_beta 90.00
_cell_angle_gamma 90.00
_space_group_name_H-M_alt 'P m -3 m'
_space_group_IT_number 221
_space_group_name_Hall '-P 4 2 3'
loop_
_atom_site_label
_atom_site_type_symbol
_atom_site_fract_x
_atom_site_fract_y
_atom_site_fract_z
Tc1 Tc 0.000 0.000 0.000
Ge1 Ge 0.500 0.500 0.500
N1 N 0.000 0.000 0.500
# * raw formation energy: 4.52 eV per formula unit
# * crystal system: cubic
# * total magnetization: 0.00 μB/f.u.

(10)
# PBE SrCa6Nd, relaxed
data_SrCa6Nd
_cell_length_a 5.566
_cell_length_b 5.566
_cell_length_c 10.953
_cell_angle_alpha 90.00
_cell_angle_beta 90.00
_cell_angle_gamma 90.00
_space_group_name_H-M_alt 'P 4/m m m'
_space_group_IT_number 123
_space_group_name_Hall '-P 4 2'
loop_
_atom_site_label
_atom_site_type_symbol
_atom_site_fract_x
_atom_site_fract_y
_atom_site_fract_z
Sr1 Sr 0.000 0.000 0.000
Ca1 Ca 0.000 0.500 0.262
Ca2 Ca 0.500 0.500 0.000
Ca3 Ca 0.500 0.500 0.500
Nd1 Nd 0.000 0.000 0.500
# * offset from the most stable computed form: 0.00 eV/f.u.
# * crystal system: tetragonal
# * DFT formation energy: 0.060 eV per atom
# * total magnetization: 0.74 μB/f.u.

(11)
# PBE HgOF, relaxed
data_HgOF
_cell_length_a 4.787
_cell_length_b 5.223
_cell_length_c 7.263
_cell_angle_alpha 90.00
_cell_angle_beta 90.00
_cell_angle_gamma 90.00
_space_group_name_H-M_alt 'P 21 21 21'
_space_group_IT_number 19
loop_
_space_group_symop_operation_xyz
'x,y,z'
'-x+1/2,-y,z+1/2'
'x+1/2,-y+1/2,-z'
'-x,y+1/2,-z+1/2'
loop_
_atom_site_label
_atom_site_type_symbol
_atom_site_fract_x
_atom_site_fract_y
_atom_site_fract_z
Hg1 Hg 0.218 0.032 0.123
O1 O 0.102 0.814 0.370
F1 F 0.070 0.721 0.882
# * raw formation energy: -1.61 eV per formula unit
# * crystal system: orthorhombic
# * total magnetization: 0.00 μB/f.u.

(12)
# PBE Ti2OF2, relaxed
data_Ti2OF2
_cell_length_a 5.578
_cell_length_b 5.578
_cell_length_c 3.940
_cell_angle_alpha 90.00
_cell_angle_beta 90.00
_cell_angle_gamma 90.00
_space_group_name_H-M_alt 'P 4/m b m'
_space_group_IT_number 127
_space_group_name_Hall '-P 4 2ab'
loop_
_atom_site_label
_atom_site_type_symbol
_atom_site_fract_x
_atom_site_fract_y
_atom_site_fract_z
Ti1 Ti 0.185 0.315 0.000
O1 O 0.000 0.000 0.000
F1 F 0.182 0.318 0.500
# * raw formation energy: -13.26 eV per formula unit
# * offset from the most stable computed form: 0.00 eV/f.u.
# * crystal system: tetragonal
# * total magnetization: 0.00 μB/f.u.

(13)
# PBE AcGdHgBi, relaxed
data_AcGdHgBi
_cell_length_a 7.982
_cell_length_b 7.982
_cell_length_c 7.982
_cell_angle_alpha 90.00
_cell_angle_beta 90.00
_cell_angle_gamma 90.00
_space_group_name_H-M_alt 'F -4 3 m'
_space_group_IT_number 216
_space_group_name_Hall 'F -4 2 3'
loop_
_atom_site_label
_atom_site_type_symbol
_atom_site_fract_x
_atom_site_fract_y
_atom_site_fract_z
Ac1 Ac 0.000 0.000 0.000
Gd1 Gd 0.000 0.000 0.500
Hg1 Hg 0.250 0.250 0.750
Bi1 Bi 0.250 0.250 0.250
# * crystal system: cubic
# * DFT formation energy: -0.545 eV per atom
# * total magnetization: 7.81 μB/f.u.

(14)
# PBE AcPrGd2, relaxed
data_AcPrGd2
_cell_length_a 5.270
_cell_length_b 5.270
_cell_length_c 5.223
_cell_angle_alpha 90.00
_cell_angle_beta 90.00
_cell_angle_gamma 90.00
_space_group_name_H-M_alt 'P 4/m m m'
_space_group_IT_number 123
_space_group_name_Hall '-P 4 2'
loop_
_atom_site_label
_atom_site_type_symbol
_atom_site_fract_x
_atom_site_fract_y
_atom_site_fract_z
Ac1 Ac 0.000 0.000 0.000
Pr1 Pr 0.500 0.500 0.000
Gd1 Gd 0.000 0.500 0.500
# * offset from the most stable computed form: 0.00 eV/f.u.
# * crystal system: tetragonal
# * DFT formation energy: 0.030 eV per atom
# * total magnetization: 14.84 μB/f.u.

(15)
# PBE TcNiBr2, relaxed
data_TcNiBr2
_cell_length_a 3.903
_cell_length_b 5.734
_cell_length_c 8.301
_cell_angle_alpha 90.00
_cell_angle_beta 90.00
_cell_angle_gamma 90.00
_space_group_name_H-M_alt 'C m m 2'
_space_group_IT_number 35
loop_
_space_group_symop_operation_xyz
'x,y,z'
'-x,-y,z'
'-x,y,z'
'x,-y,z'
'x+1/2,y+1/2,z'
'-x+1/2,-y+1/2,z'
'-x+1/2,y+1/2,z'
'x+1/2,-y+1/2,z'
loop_
_atom_site_label
_atom_site_type_symbol
_atom_site_fract_x
_atom_site_fract_y
_atom_site_fract_z
Tc1 Tc 0.000 0.000 0.000
Ni1 Ni 0.000 0.500 0.158
Br1 Br 0.000 0.000 0.332
Br2 Br 0.000 0.500 0.778
# * raw formation energy: 1.37 eV per formula unit
# * offset from the most stable computed form: 0.71 eV/f.u.
# * crystal system: orthorhombic
# * total magnetization: 2.95 μB/f.u.

(16)
# PBE K2P2Os, relaxed
data_K2P2Os
_cell_length_a 6.123
_cell_length_b 6.123
_cell_length_c 5.518
_cell_angle_alpha 90.00
_cell_angle_beta 90.00
_cell_angle_gamma 90.00
_space_group_name_H-M_alt 'P 4/m b m'
_space_group_IT_number 127
_space_group_name_Hall '-P 4 2ab'
loop_
_atom_site_label
_atom_site_type_symbol
_atom_site_fract_x
_atom_site_fract_y
_atom_site_fract_z
K1 K 0.180 0.320 0.000
P1 P 0.136 0.636 0.500
Os1 Os 0.000 0.000 0.500
# * crystal system: tetragonal
# * DFT formation energy: -0.201 eV per atom
# * total magnetization: 0.00 μB/f.u.

(17)
# PBE Sm2GdTm, relaxed
data_Sm2GdTm
_cell_length_a 8.066
_cell_length_b 8.066
_cell_length_c 8.066
_cell_angle_alpha 90.00
_cell_angle_beta 90.00
_cell_angle_gamma 90.00
_space_group_name_H-M_alt 'F m -3 m'
_space_group_IT_number 225
_space_group_name_Hall '-F 4 2 3'
loop_
_atom_site_label
_atom_site_type_symbol
_atom_site_fract_x
_atom_site_fract_y
_atom_site_fract_z
Sm1 Sm 0.250 0.250 0.250
Gd1 Gd 0.000 0.000 0.000
Tm1 Tm 0.000 0.000 0.500
# * offset from the most stable computed form: 0.40 eV/f.u.
# * crystal system: cubic
# * DFT formation energy: 0.117 eV per atom
# * total magnetization: 8.41 μB/f.u.

(18)
# PBE TiBe2Re2, relaxed
data_TiBe2Re2
_cell_length_a 6.122
_cell_length_b 6.122
_cell_length_c 3.181
_cell_angle_alpha 90.00
_cell_angle_beta 90.00
_cell_angle_gamma 90.00
_space_group_name_H-M_alt 'P 4/m b m'
_space_group_IT_number 127
_space_group_name_Hall '-P 4 2ab'
loop_
_atom_site_label
_atom_site_type_symbol
_atom_site_fract_x
_atom_site_fract_y
_atom_site_fract_z
Ti1 Ti 0.000 0.000 0.000
Be1 Be 0.117 0.383 0.000
Re1 Re 0.176 0.676 0.500
# * crystal system: tetragonal
# * DFT formation energy: -0.411 eV per atom
# * total magnetization: 0.00 μB/f.u.

(19)
# PBE WSe2BrN, relaxed
data_WSe2BrN
_cell_length_a 4.528
_cell_length_b 4.528
_cell_length_c 4.296
_cell_angle_alpha 90.00
_cell_angle_beta 90.00
_cell_angle_gamma 90.00
_space_group_name_H-M_alt 'P 4/m m m'
_space_group_IT_number 123
_space_group_name_Hall '-P 4 2'
loop_
_atom_site_label
_atom_site_type_symbol
_atom_site_fract_x
_atom_site_fract_y
_atom_site_fract_z
W1 W 0.000 0.000 0.000
Se1 Se 0.000 0.500 0.500
Br1 Br 0.500 0.500 0.000
N1 N 0.500 0.500 0.500
# * raw formation energy: 7.73 eV per formula unit
# * offset from the most stable computed form: 6.09 eV/f.u.
# * crystal system: tetragonal
# * total magnetization: 2.93 μB/f.u.

(20)
# PBE SmCd2Ag2Hg2, relaxed
data_SmCd2Ag2Hg2
_cell_length_a 4.8218
_cell_length_b 4.8218
_cell_length_c 23.6106
_cell_angle_alpha 90.00
_cell_angle_beta 90.00
_cell_angle_gamma 120.00
_space_group_name_H-M_alt 'R -3 m'
_space_group_IT_number 166
_space_group_name_Hall '-R 3 2"'
loop_
_atom_site_label
_atom_site_type_symbol
_atom_site_fract_x
_atom_site_fract_y
_atom_site_fract_z
Sm1 Sm 0.0000 0.0000 0.0000
Cd1 Cd 0.0000 0.0000 0.1403
Ag1 Ag 0.0000 0.0000 0.4338
Hg1 Hg 0.0000 0.0000 0.2722
# * crystal system: trigonal
# * DFT formation energy: -0.180 eV per atom
# * total magnetization: 0.00 μB/f.u.